First-principles (PBE-GGA) data for an optimized crystal structure of Ba2GeIrS, as listed in Alexandria via LeMat-Bulk.

Lattice parameters (Å, degrees): 5.9147 5.9147 4.7005 90.00 90.00 90.00
Space group P4/mmm (No. 123)
Symmetry-distinct sites (fractional):
1 Ba 0.0000 0.5000 0.0000
2 Ge 0.0000 0.0000 0.5000
3 Ir 0.5000 0.5000 0.5000
4 S 0.0000 0.0000 0.0000

Summary:
The magnetization comes out at 0.39 Bohr magnetons per cell. As for the energy relative to the elements, uncorrected: 14.2 meV/atom.

=====

First-principles (PBE-GGA) data for an optimized crystal structure of Al2ZnPb, as listed in Alexandria via LeMat-Bulk.

Lattice parameters (Å, degrees): 4.4360 4.4360 8.5529 90.00 90.00 90.00
Space group I4/mmm (No. 139)
Symmetry-distinct sites (fractional):
1 Al 0.0000 0.5000 0.2500
2 Zn 0.0000 0.0000 0.0000
3 Pb 0.0000 0.0000 0.5000

Summary:
The value obtained for the energy above the most stable polymorph in this dataset is 0.092 eV per atom. The calculation puts the formation energy at 270 meV per atom. The magnetization comes out at 0.00 Bohr magnetons per cell.

=====

First-principles (PBE-GGA) data for an optimized crystal structure of SbAu2Se2, as listed in Alexandria via LeMat-Bulk.

Lattice parameters (Å, degrees): 8.6210 4.1266 7.5007 90.00 116.56 90.00
Space group C2/m (No. 12)
Symmetry-distinct sites (fractional):
1 Sb 0.0000 0.0000 0.0000
2 Au 0.0234 0.5000 0.7014
3 Se 0.2420 0.0000 0.7462

Summary:
The value obtained for the energy above the most stable polymorph in this dataset is 0.000 eV per atom. The magnetization comes out at 0.00 Bohr magnetons per cell. As for the energy relative to the elements, uncorrected: 106.0 meV/atom.

=====

First-principles (PBE-GGA) data for an optimized crystal structure of AsRhCl2, as listed in Alexandria via LeMat-Bulk.

Lattice parameters (Å, degrees): 5.7658 8.2547 4.2455 90.00 132.51 90.00
Space group C2/m (No. 12)
Symmetry-distinct sites (fractional):
1 As 0.0000 0.0000 0.0000
2 Rh 0.0000 0.5000 0.0000
3 Cl 0.2500 0.2500 0.5000

Summary:
The value obtained for the energy above the most stable polymorph in this dataset is 0.818 eV per atom. The magnetization comes out at 0.00 Bohr magnetons per cell. As for the energy relative to the elements, uncorrected: 218.7 meV/atom.

=====

First-principles (PBE-GGA) data for an optimized crystal structure of LiNiPt2Rh, as listed in Alexandria via LeMat-Bulk.

Lattice parameters (Å, degrees): 4.2013 4.2013 3.9470 90.00 90.00 90.00
Space group P4/mmm (No. 123)
Symmetry-distinct sites (fractional):
1 Li 0.0000 0.0000 0.0000
2 Ni 0.0000 0.0000 0.5000
3 Pt 0.0000 0.5000 0.0000
4 Rh 0.5000 0.5000 0.5000

Summary:
The calculation puts the formation energy at 575 meV per atom. The magnetization comes out at 1.05 Bohr magnetons per cell.

=====

First-principles (PBE-GGA) data for an optimized crystal structure of FeSiBi3, as listed in Alexandria via LeMat-Bulk.

Lattice parameters (Å, degrees): 5.3799 5.3799 5.3799 90.00 90.00 90.00
Space group Pm-3m (No. 221)
Symmetry-distinct sites (fractional):
1 Fe 0.0000 0.0000 0.0000
2 Si 0.5000 0.5000 0.5000
3 Bi 0.0000 0.5000 0.5000

Summary:
The value obtained for the energy above the most stable polymorph in this dataset is 0.409 eV per atom. The magnetization comes out at 3.10 Bohr magnetons per cell. As for the energy relative to the elements, uncorrected: 1129.5 meV/atom.

=====

| no. | total DFT energy (no corrections) (eV per atom) | Fermi-level density of states (states/eV/cell) |
| --- | --- | --- |
| 1 | -4.28 | 4.3 |
| 2 | -2.85 | 3.4 |
| 3 | -3.42 | 2.2 |
| 4 | -3.70 | 4.5 |
| 5 | -4.85 | 7.5 |
| 6 | -3.98 | 6.9 |